First-principles (meta-GGA SCAN) data for Hf3ZrO at its PBEsol-relaxed geometry, as listed in the Alexandria database.

- ΔE_f (raw) (eV per atom) = -1.1568
- space group = Pm-3m (221)

POSCAR file:
```
Hf3ZrO
1.0
4.456 0.000 0.000
0.000 4.456 0.000
0.000 0.000 4.456
Hf Zr O
3 1 1
direct
0.000 0.000 0.500
0.000 0.500 0.000
0.500 0.000 0.000
0.500 0.500 0.500
0.000 0.000 0.000
```

---

First-principles (meta-GGA SCAN) data for Ca2CrW at its PBEsol-relaxed geometry, as listed in the Alexandria database.

- polymorph energy (0 for the lowest one) (eV/atom) = 0.369
- formation energy (eV/atom) = 1.059
- space group = C2/m (12)

POSCAR file:
```
Ca2CrW
1.0
10.418 0.000 0.000
0.000 2.945 0.000
-0.657 0.000 5.410
Ca Cr W
4 2 2
direct
0.249 0.000 0.245
0.251 0.500 0.755
0.749 0.500 0.245
0.751 0.000 0.755
0.000 0.000 0.500
0.500 0.500 0.500
0.000 0.500 0.000
0.500 0.000 0.000
```

---

First-principles (meta-GGA SCAN) data for RbAg2Bi2 at its PBEsol-relaxed geometry, as listed in the Alexandria database.

- formation energy (eV/atom) = -0.158
- space group = I4/mmm (139)

POSCAR file:
```
RbAg2Bi2
1.0
4.925 0.000 0.000
0.000 4.925 0.000
0.000 0.000 12.076
Rb Ag Bi
2 4 4
direct
0.000 0.000 0.000
0.500 0.500 0.500
0.000 0.500 0.250
0.000 0.500 0.750
0.500 0.000 0.250
0.500 0.000 0.750
0.000 0.000 0.373
0.000 0.000 0.627
0.500 0.500 0.127
0.500 0.500 0.873
```

---

First-principles (meta-GGA SCAN) data for BaTaSCl2 at its PBEsol-relaxed geometry, as listed in the Alexandria database.

- ΔE_f (raw) (eV per atom) = -1.2788
- space group = P4/mmm (123)

POSCAR file:
```
BaTaSCl2
1.0
4.839 0.000 0.000
0.000 4.839 0.000
0.000 0.000 4.860
Ba Ta S Cl
1 1 1 2
direct
0.000 0.000 0.000
0.500 0.500 0.500
0.500 0.500 0.000
0.000 0.500 0.500
0.500 0.000 0.500
```

---

First-principles (meta-GGA SCAN) data for LiFeIr2Se at its PBEsol-relaxed geometry, as listed in the Alexandria database.

- ΔE_f (raw) (eV per atom) = 0.8392
- space group = P4/mmm (123)

POSCAR file:
```
LiFeIr2Se
1.0
4.557 0.000 0.000
0.000 4.557 0.000
0.000 0.000 4.337
Li Fe Ir Se
1 1 2 1
direct
0.000 0.000 0.000
0.500 0.500 0.000
0.000 0.500 0.500
0.500 0.000 0.500
0.500 0.500 0.500
```

---

First-principles (meta-GGA SCAN) data for ReAuSe2 at its PBEsol-relaxed geometry, as listed in the Alexandria database.

- polymorph energy (0 for the lowest one) (eV/atom) = 0.000
- ΔE_f (raw) (eV per atom) = 0.3354
- space group = Pm (6)

POSCAR file:
```
ReAuSe2
1.0
3.287 0.000 0.000
0.000 3.582 0.000
-1.630 0.000 6.835
Re Au Se
1 1 2
direct
0.000 0.000 0.000
0.404 0.500 0.807
0.119 0.500 0.239
0.821 0.000 0.639
```

---

First-principles (meta-GGA SCAN) data for BaCa2Au2 at its PBEsol-relaxed geometry, as listed in the Alexandria database.

- polymorph energy (0 for the lowest one) (eV/atom) = 0.036
- formation energy (eV/atom) = -0.720
- space group = P4/mbm (127)

POSCAR file:
```
BaCa2Au2
1.0
8.280 0.000 0.000
0.000 8.280 0.000
0.000 0.000 4.180
Ba Ca Au
2 4 4
direct
0.000 0.000 0.000
0.500 0.500 0.000
0.154 0.346 0.500
0.346 0.846 0.500
0.654 0.154 0.500
0.846 0.654 0.500
0.127 0.627 0.000
0.373 0.127 0.000
0.627 0.873 0.000
0.873 0.373 0.000
```

---

First-principles (meta-GGA SCAN) data for Bi4B2O9 at its PBEsol-relaxed geometry, as listed in the Alexandria database.

- ΔE_f (raw) (eV per atom) = -1.6802
- space group = P2_1/c (14)

POSCAR file:
```
Bi4B2O9
1.0
11.140 0.000 0.000
0.000 6.511 0.000
-0.096 0.000 11.065
Bi B O
16 8 36
direct
0.001 0.069 0.161
0.001 0.431 0.661
0.156 0.553 0.020
0.156 0.947 0.520
0.305 0.041 0.992
0.305 0.459 0.492
0.489 0.019 0.346
0.489 0.481 0.846
0.511 0.519 0.154
0.511 0.981 0.654
0.695 0.541 0.508
0.695 0.959 0.008
0.844 0.053 0.480
0.844 0.447 0.980
0.999 0.569 0.339
0.999 0.931 0.839
0.249 0.232 0.766
0.249 0.268 0.266
0.277 0.749 0.246
0.277 0.751 0.746
0.723 0.249 0.254
0.723 0.251 0.754
0.751 0.732 0.734
0.751 0.768 0.234
0.003 0.593 0.888
0.003 0.907 0.388
0.115 0.606 0.506
0.115 0.894 0.006
0.163 0.675 0.221
0.163 0.825 0.721
0.173 0.225 0.866
0.173 0.275 0.366
0.209 0.187 0.157
0.209 0.313 0.657
0.314 0.704 0.862
0.314 0.796 0.362
0.356 0.728 0.649
0.356 0.772 0.149
0.364 0.159 0.784
0.364 0.341 0.284
0.421 0.160 0.515
0.421 0.340 0.015
0.579 0.660 0.985
0.579 0.840 0.485
0.636 0.659 0.716
0.636 0.841 0.216
0.644 0.228 0.851
0.644 0.272 0.351
0.686 0.204 0.638
0.686 0.296 0.138
0.791 0.687 0.343
0.791 0.813 0.843
0.827 0.725 0.634
0.827 0.775 0.134
0.837 0.175 0.279
0.837 0.325 0.779
0.885 0.106 0.994
0.885 0.394 0.494
0.997 0.093 0.612
0.997 0.407 0.112
```

---

Number 1: magnetic moment 0.00 μB/f.u., E_tot -230.733 eV for the cell shown. Number 2: magnetic moment 2.98 μB/f.u., E_tot -206.328 eV for the cell shown. Number 3: magnetic moment 0.00 μB/f.u., E_tot -482.850 eV for the cell shown. Number 4: magnetic moment 0.47 μB/f.u., E_tot -138.111 eV for the cell shown. Number 5: magnetic moment 2.50 μB/f.u., E_tot -178.600 eV for the cell shown. Number 6: magnetic moment 0.00 μB/f.u., E_tot -179.070 eV for the cell shown. Number 7: magnetic moment 0.00 μB/f.u., E_tot -401.580 eV for the cell shown. Number 8: magnetic moment 0.00 μB/f.u., E_tot -1641.847 eV for the cell shown.